No. 1
Density functional theory data (PBE-GGA) for a geometry-optimized SrMg2Se structure.

abc: 5.8488 5.8488 6.1312
angles: 64.20 64.20 37.93
Fractional coordinates of all 4 atoms:
Mg: 0.9797 0.9797 0.0035
Mg: 0.1868 0.1868 0.2286
Se: 0.5307 0.5307 0.6231
Sr: 0.8027 0.8027 0.6448

Computed properties:
Raw formation energy: -633 meV per atom
E_tot: -10.9 eV/cell
DOS at the Fermi energy: 0.33 states/eV per atom

=====

No. 2
Density functional theory data (PBE-GGA) for a geometry-optimized Pu4NCl5 structure.

abc: 3.6543 7.9114 8.6759
angles: 102.25 102.16 90.00
Fractional coordinates of all 10 atoms:
Pu: 0.3493 0.9308 0.6987
Pu: 0.0017 0.7875 0.0034
Pu: 0.6507 0.0692 0.3013
Pu: 0.9983 0.2125 0.9966
N: 0.5000 0.0000 0.0000
Cl: 0.8358 0.6602 0.6715
Cl: 0.8276 0.1882 0.6552
Cl: 0.1724 0.8118 0.3448
Cl: 0.5000 0.5000 0.0000
Cl: 0.1642 0.3398 0.3285

Computed properties:
Raw formation energy: -1506 meV per atom
E_tot: -90.0 eV/cell
DOS at the Fermi energy: 3.11 states/eV per atom

=====

No. 3
Density functional theory data (PBE-GGA) for a geometry-optimized Cd3In3Hg2 structure.

abc: 4.6700 4.4332 9.6865
angles: 90.00 90.00 90.00
Fractional coordinates of all 8 atoms:
Cd: 0.5000 0.5000 0.7547
Cd: 0.5000 0.5000 0.2453
Cd: 0.5000 0.0000 0.0000
In: 0.5000 0.0000 0.5000
In: 0.0000 0.5000 0.0000
In: 0.0000 0.5000 0.5000
Hg: 0.0000 0.0000 0.7557
Hg: 0.0000 0.0000 0.2443

Computed properties:
E_tot: -11.3 eV/cell
Calculated formation energy: 0.029 eV/atom
DOS at the Fermi energy: 0.45 states/eV per atom
Energy above the most stable polymorph in this dataset: 0.007 eV per atom

=====

No. 4
Density functional theory data (PBE-GGA) for a geometry-optimized CaSc2F structure.

abc: 8.9292 8.9292 8.9292
angles: 22.43 22.43 22.43
Fractional coordinates of all 4 atoms:
Sc: 0.8802 0.8802 0.8802
Sc: 0.1198 0.1198 0.1198
Ca: 0.0000 0.0000 0.0000
F: 0.5000 0.5000 0.5000

Computed properties:
Raw formation energy: -820 meV per atom
E_tot: -19.8 eV/cell
DOS at the Fermi energy: 1.39 states/eV per atom
Energy above the most stable polymorph in this dataset: 0.182 eV per atom